# PBE-GGA TbPrCu, relaxed
data_TbPrCu
_chemical_formula_sum 'Tb1 Pr1 Cu1'
_symmetry_space_group_name_H-M 'P 1'
_symmetry_Int_Tables_number 1
_cell_length_a 3.673
_cell_length_b 3.673
_cell_length_c 7.123
_cell_angle_alpha 90.00
_cell_angle_beta 90.00
_cell_angle_gamma 120.00
loop_
_symmetry_equiv_pos_as_xyz
'x,y,z'
loop_
_atom_site_label
_atom_site_fract_x
_atom_site_fract_y
_atom_site_fract_z
_atom_site_occupancy
Pr1 0.000 0.000 0.041 1
Tb1 0.333 0.667 0.616 1
Cu1 0.667 0.333 0.343 1
# Symmetry: P3m1
# ΔE to the lowest computed polymorph, eV per atom: 0.160
# Formation enthalpy at 0 K, eV/atom: 0.05
# Mass density, kg/m3: 7249
# E_tot, eV/atom: -4.451
# Crystal system: trigonal